Entry 1:
# Ce4Y3ScS8, relaxed, DFT GGA-PBE
# - N(E_F) (states/eV/atom) = 1.379
# - uncorrected formation energy (eV/atom) = -2.003
# - calculated total energy (eV per atom) = -7.158
# - calculated volume (Å³ per cell) = 1042.5
# - crystal system = trigonal
data_Ce4Y3ScS8
_chemical_formula_sum 'Ce12 Y9 Sc3 S24'
_cell_length_a 7.8507
_cell_length_b 7.8507
_cell_length_c 19.5315
_cell_angle_alpha 90.00
_cell_angle_beta 90.00
_cell_angle_gamma 120.00
_symmetry_space_group_name_H-M 'R -3 m'
_symmetry_Int_Tables_number 166
_symmetry_space_group_name_Hall '-R 3 2"'
loop_
_atom_site_label
_atom_site_type_symbol
_atom_site_fract_x
_atom_site_fract_y
_atom_site_fract_z
Ce1 Ce 0.0000 0.0000 0.0000
Ce2 Ce 0.0000 0.5000 0.0000
Y1 Y 0.0000 0.5000 0.5000
Sc1 Sc 0.0000 0.0000 0.5000
S1 S 0.0000 0.0000 0.2465
S2 S 0.0081 0.5040 0.2447

***

Entry 2:
# CeY2Sc3S6, relaxed, DFT GGA-PBE
# - N(E_F) (states/eV/atom) = 0.842
# - uncorrected formation energy (eV/atom) = -1.929
# - calculated total energy (eV per atom) = -7.148
# - calculated volume (Å³ per cell) = 475.0
# - crystal system = monoclinic
data_CeY2Sc3S6
_chemical_formula_sum 'Ce2 Y4 Sc6 S12'
_cell_length_a 16.673
_cell_length_b 3.810
_cell_length_c 7.689
_cell_angle_alpha 90.00
_cell_angle_beta 103.49
_cell_angle_gamma 90.00
_symmetry_space_group_name_H-M 'C 1 2/m 1'
_symmetry_Int_Tables_number 12
loop_
_symmetry_equiv_pos_as_xyz
'x,y,z'
'-x,-y,-z'
'-x,y,-z'
'x,-y,z'
'x+1/2,y+1/2,z'
'-x+1/2,-y+1/2,-z'
'-x+1/2,y+1/2,-z'
'x+1/2,-y+1/2,z'
loop_
_atom_site_label
_atom_site_type_symbol
_atom_site_fract_x
_atom_site_fract_y
_atom_site_fract_z
Ce1 Ce 0.000 0.000 0.000
Y1 Y 0.165 0.500 0.330
Sc1 Sc 0.000 0.000 0.500
Sc2 Sc 0.165 0.500 0.837
S1 S 0.004 0.500 0.733
S2 S 0.164 0.000 0.593
S3 S 0.174 0.000 0.077

***

Entry 3:
# Ce2Y3ScS6, relaxed, DFT GGA-PBE
# - N(E_F) (states/eV/atom) = 1.099
# - uncorrected formation energy (eV/atom) = -1.979
# - calculated total energy (eV per atom) = -7.175
# - calculated volume (Å³ per cell) = 512.0
# - crystal system = monoclinic
data_Ce2Y3ScS6
_chemical_formula_sum 'Ce4 Y6 Sc2 S12'
_cell_length_a 17.092
_cell_length_b 3.909
_cell_length_c 7.881
_cell_angle_alpha 90.00
_cell_angle_beta 103.49
_cell_angle_gamma 90.00
_symmetry_space_group_name_H-M 'C 1 2/m 1'
_symmetry_Int_Tables_number 12
loop_
_symmetry_equiv_pos_as_xyz
'x,y,z'
'-x,-y,-z'
'-x,y,-z'
'x,-y,z'
'x+1/2,y+1/2,z'
'-x+1/2,-y+1/2,-z'
'-x+1/2,y+1/2,-z'
'x+1/2,-y+1/2,z'
loop_
_atom_site_label
_atom_site_type_symbol
_atom_site_fract_x
_atom_site_fract_y
_atom_site_fract_z
Ce1 Ce 0.167 0.000 0.335
Y1 Y 0.000 0.500 0.500
Y2 Y 0.168 0.000 0.833
Sc1 Sc 0.000 0.500 0.000
S1 S 0.003 0.000 0.763
S2 S 0.162 0.500 0.075
S3 S 0.164 0.500 0.590

***

Entry 4:
# Ce3Y3ScS8, relaxed, DFT GGA-PBE
# - N(E_F) (states/eV/atom) = 1.253
# - uncorrected formation energy (eV/atom) = -2.032
# - calculated total energy (eV per atom) = -7.135
# - calculated volume (Å³ per cell) = 1045.5
# - crystal system = trigonal
data_Ce3Y3ScS8
_chemical_formula_sum 'Ce9 Y9 Sc3 S24'
_cell_length_a 7.8547
_cell_length_b 7.8547
_cell_length_c 19.5681
_cell_angle_alpha 90.00
_cell_angle_beta 90.00
_cell_angle_gamma 120.00
_symmetry_space_group_name_H-M 'R -3 m'
_symmetry_Int_Tables_number 166
_symmetry_space_group_name_Hall '-R 3 2"'
loop_
_atom_site_label
_atom_site_type_symbol
_atom_site_fract_x
_atom_site_fract_y
_atom_site_fract_z
Ce1 Ce 0.0000 0.5000 0.0000
Y1 Y 0.0000 0.5000 0.5000
Sc1 Sc 0.0000 0.0000 0.5000
S1 S 0.0000 0.0000 0.2463
S2 S 0.0095 0.5048 0.2443

***

Entry 5:
# Ce2ScZnS5, relaxed, DFT GGA-PBE
# - N(E_F) (states/eV/atom) = 1.503
# - uncorrected formation energy (eV/atom) = -1.704
# - calculated total energy (eV per atom) = -6.160
# - calculated volume (Å³ per cell) = 751.7
# - crystal system = orthorhombic
data_Ce2ScZnS5
_chemical_formula_sum 'Ce8 Sc4 Zn4 S20'
_cell_length_a 3.847
_cell_length_b 16.690
_cell_length_c 11.709
_cell_angle_alpha 90.00
_cell_angle_beta 90.00
_cell_angle_gamma 90.00
_symmetry_space_group_name_H-M 'C m c 21'
_symmetry_Int_Tables_number 36
loop_
_symmetry_equiv_pos_as_xyz
'x,y,z'
'-x,-y,z+1/2'
'-x,y,z'
'x,-y,z+1/2'
'x+1/2,y+1/2,z'
'-x+1/2,-y+1/2,z+1/2'
'-x+1/2,y+1/2,z'
'x+1/2,-y+1/2,z+1/2'
loop_
_atom_site_label
_atom_site_type_symbol
_atom_site_fract_x
_atom_site_fract_y
_atom_site_fract_z
Ce1 Ce 0.000 0.116 0.000
Ce2 Ce 0.000 0.132 0.623
Sc1 Sc 0.000 0.204 0.327
Zn1 Zn 0.000 0.448 0.766
S1 S 0.000 0.050 0.373
S2 S 0.000 0.290 0.977
S3 S 0.000 0.310 0.674
S4 S 0.000 0.357 0.316
S5 S 0.000 0.497 0.088

***

Entry 6:
# Ce3Se3S, relaxed, DFT GGA-PBE
# - N(E_F) (states/eV/atom) = 2.609
# - uncorrected formation energy (eV/atom) = -1.698
# - calculated total energy (eV per atom) = -6.324
# - calculated volume (Å³ per cell) = 543.7
# - crystal system = trigonal
data_Ce3Se3S
_chemical_formula_sum 'Ce9 Se9 S3'
_cell_length_a 9.0255
_cell_length_b 9.0255
_cell_length_c 7.7070
_cell_angle_alpha 90.00
_cell_angle_beta 90.00
_cell_angle_gamma 120.00
_symmetry_space_group_name_H-M 'R 3 m'
_symmetry_Int_Tables_number 160
_symmetry_space_group_name_Hall 'R 3 -2"'
loop_
_atom_site_label
_atom_site_type_symbol
_atom_site_fract_x
_atom_site_fract_y
_atom_site_fract_z
Ce1 Ce 0.1677 0.3353 0.0000
Se1 Se 0.1978 0.3955 0.4123
S1 S 0.0000 0.0000 0.1600

***

Entry 7:
# Ce6Se4S, relaxed, DFT GGA-PBE
# - N(E_F) (states/eV/atom) = 3.320
# - uncorrected formation energy (eV/atom) = -1.428
# - calculated total energy (eV per atom) = -6.307
# - calculated volume (Å³ per cell) = 1682.9
# - crystal system = trigonal
data_Ce6Se4S
_chemical_formula_sum 'Ce36 Se24 S6'
_cell_length_a 11.5806
_cell_length_b 11.5806
_cell_length_c 14.4899
_cell_angle_alpha 90.00
_cell_angle_beta 90.00
_cell_angle_gamma 120.00
_symmetry_space_group_name_H-M 'R -3 c'
_symmetry_Int_Tables_number 167
_symmetry_space_group_name_Hall '-R 3 2"c'
loop_
_atom_site_label
_atom_site_type_symbol
_atom_site_fract_x
_atom_site_fract_y
_atom_site_fract_z
Ce1 Ce 0.0334 0.2020 0.3887
Se1 Se 0.0000 0.0000 0.2500
Se2 Se 0.0000 0.3874 0.2500
S1 S 0.0000 0.0000 0.0000

***

Entry 8:
# Ce2SeS, relaxed, DFT GGA-PBE
# - N(E_F) (states/eV/atom) = 2.921
# - uncorrected formation energy (eV/atom) = -1.772
# - calculated total energy (eV per atom) = -6.642
# - relative energy among the computed polymorphs (eV/atom) = 0.156
# - calculated volume (Å³ per cell) = 302.6
# - crystal system = trigonal
data_Ce2SeS
_chemical_formula_sum 'Ce6 Se3 S3'
_cell_length_a 3.9877
_cell_length_b 3.9877
_cell_length_c 21.9766
_cell_angle_alpha 90.00
_cell_angle_beta 90.00
_cell_angle_gamma 120.00
_symmetry_space_group_name_H-M 'R 3 m'
_symmetry_Int_Tables_number 160
_symmetry_space_group_name_Hall 'R 3 -2"'
loop_
_atom_site_label
_atom_site_type_symbol
_atom_site_fract_x
_atom_site_fract_y
_atom_site_fract_z
Ce1 Ce 0.0000 0.0000 0.0000
Ce2 Ce 0.0000 0.0000 0.1675
Se1 Se 0.0000 0.0000 0.5846
S1 S 0.0000 0.0000 0.4158

***

Entry 9:
# Ce2SeS, relaxed, DFT GGA-PBE
# - N(E_F) (states/eV/atom) = 2.605
# - uncorrected formation energy (eV/atom) = -1.913
# - calculated total energy (eV per atom) = -6.782
# - relative energy among the computed polymorphs (eV/atom) = 0.015
# - calculated volume (Å³ per cell) = 392.0
# - crystal system = tetragonal
data_Ce2SeS
_chemical_formula_sum 'Ce8 Se4 S4'
_cell_length_a 5.813
_cell_length_b 5.813
_cell_length_c 11.599
_cell_angle_alpha 90.00
_cell_angle_beta 90.00
_cell_angle_gamma 90.00
_symmetry_space_group_name_H-M 'I 41/a m d'
_symmetry_Int_Tables_number 141
loop_
_symmetry_equiv_pos_as_xyz
'x,y,z'
'-x,-y,-z'
'-y+1/4,x+3/4,z+1/4'
'y+1/4,-x+3/4,-z+1/4'
'-x+1/2,-y,z+1/2'
'x+1/2,y,-z+1/2'
'y+1/4,-x+1/4,z+3/4'
'-y+1/4,x+1/4,-z+3/4'
'x,-y,-z'
'-x,y,z'
'-y+1/4,-x+1/4,-z+3/4'
'y+1/4,x+1/4,z+3/4'
'-x+1/2,y,-z+1/2'
'x+1/2,-y,z+1/2'
'y+1/4,x+3/4,-z+1/4'
'-y+1/4,-x+3/4,z+1/4'
'x+1/2,y+1/2,z+1/2'
'-x+1/2,-y+1/2,-z+1/2'
'-y+3/4,x+1/4,z+3/4'
'y+3/4,-x+1/4,-z+3/4'
'-x,-y+1/2,z'
'x,y+1/2,-z'
'y+3/4,-x+3/4,z+1/4'
'-y+3/4,x+3/4,-z+1/4'
'x+1/2,-y+1/2,-z+1/2'
'-x+1/2,y+1/2,z+1/2'
'-y+3/4,-x+3/4,-z+1/4'
'y+3/4,x+3/4,z+1/4'
'-x,y+1/2,-z'
'x,-y+1/2,z'
'y+3/4,x+1/4,-z+3/4'
'-y+3/4,-x+1/4,z+3/4'
loop_
_atom_site_label
_atom_site_type_symbol
_atom_site_fract_x
_atom_site_fract_y
_atom_site_fract_z
Ce1 Ce 0.000 0.250 0.119
Se1 Se 0.000 0.250 0.375
S1 S 0.000 0.250 0.875

***

Entry 10:
# Ce2Se2S, relaxed, DFT GGA-PBE
# - N(E_F) (states/eV/atom) = 2.097
# - uncorrected formation energy (eV/atom) = -1.759
# - calculated total energy (eV per atom) = -6.352
# - relative energy among the computed polymorphs (eV/atom) = 0.007
# - calculated volume (Å³ per cell) = 152.5
# - crystal system = trigonal
data_Ce2Se2S
_chemical_formula_sum 'Ce2 Se2 S1'
_cell_length_a 4.2554
_cell_length_b 4.2554
_cell_length_c 9.7272
_cell_angle_alpha 90.00
_cell_angle_beta 90.00
_cell_angle_gamma 120.00
_symmetry_space_group_name_H-M 'P -3 m 1'
_symmetry_Int_Tables_number 164
_symmetry_space_group_name_Hall '-P 3 2"'
loop_
_atom_site_label
_atom_site_type_symbol
_atom_site_fract_x
_atom_site_fract_y
_atom_site_fract_z
Ce1 Ce 0.3333 0.6667 0.3269
Se1 Se 0.3333 0.6667 0.8213
S1 S 0.0000 0.0000 0.5000

***

Entry 11:
# Ce6SeS5, relaxed, DFT GGA-PBE
# - N(E_F) (states/eV/atom) = 2.462
# - uncorrected formation energy (eV/atom) = -1.999
# - calculated total energy (eV per atom) = -6.976
# - calculated volume (Å³ per cell) = 562.8
# - crystal system = monoclinic
data_Ce6SeS5
_chemical_formula_sum 'Ce12 Se2 S10'
_cell_length_a 7.012
_cell_length_b 12.142
_cell_length_c 7.012
_cell_angle_alpha 90.00
_cell_angle_beta 109.49
_cell_angle_gamma 90.00
_symmetry_space_group_name_H-M 'C 1 2/m 1'
_symmetry_Int_Tables_number 12
loop_
_symmetry_equiv_pos_as_xyz
'x,y,z'
'-x,-y,-z'
'-x,y,-z'
'x,-y,z'
'x+1/2,y+1/2,z'
'-x+1/2,-y+1/2,-z'
'-x+1/2,y+1/2,-z'
'x+1/2,-y+1/2,z'
loop_
_atom_site_label
_atom_site_type_symbol
_atom_site_fract_x
_atom_site_fract_y
_atom_site_fract_z
Ce1 Ce 0.244 0.000 0.254
Ce2 Ce 0.244 0.171 0.744
Se1 Se 0.000 0.500 0.000
S1 S 0.000 0.000 0.500
S2 S 0.000 0.167 0.000
S3 S 0.000 0.337 0.500

***

Entry 12:
# Ce4Se6S, relaxed, DFT GGA-PBE
# - N(E_F) (states/eV/atom) = 1.933
# - uncorrected formation energy (eV/atom) = -1.722
# - calculated total energy (eV per atom) = -6.156
# - calculated volume (Å³ per cell) = 598.7
# - crystal system = hexagonal
data_Ce4Se6S
_chemical_formula_sum 'Ce8 Se12 S2'
_cell_length_a 9.7498
_cell_length_b 9.7498
_cell_length_c 7.2728
_cell_angle_alpha 90.00
_cell_angle_beta 90.00
_cell_angle_gamma 120.00
_symmetry_space_group_name_H-M 'P 63 m c'
_symmetry_Int_Tables_number 186
_symmetry_space_group_name_Hall 'P 6c -2c'
loop_
_atom_site_label
_atom_site_type_symbol
_atom_site_fract_x
_atom_site_fract_y
_atom_site_fract_z
Ce1 Ce 0.1835 0.3670 0.0000
Ce2 Ce 0.3333 0.6667 0.4976
Se1 Se 0.0718 0.5359 0.2512
Se2 Se 0.1417 0.2835 0.6024
S1 S 0.3333 0.6667 0.8670